## CdNi2NF (PBE+U)

Data for a relaxed CdNi2NF crystal.

The calculation puts the total energy at -2.115 eV/atom. The total magnetization is 1.87 Bohr magnetons per cell. As for the crystal system: tetragonal.

Unit cell a=4.9857 b=4.9857 c=3.8396 alpha=90.00 beta=90.00 gamma=90.00
Space group P4/mmm (No. 123)
Unique sites:
1 Cd 0.0000 0.0000 0.0000 x1
2 Ni 0.0000 0.5000 0.0000 x2
3 N 0.0000 0.0000 0.5000 x1
4 F 0.5000 0.5000 0.5000 x1